[1]
# ThFeSi2Tc

A relaxed ThFeSi2Tc crystal (GGA-PBE, Alexandria via LeMat-Bulk).

Unit cell a=4.1705 b=4.1705 c=5.6813 alpha=111.53 beta=111.53 gamma=90.00
Fractional positions:
Tc  0.2500  0.7500  0.5000
Si  0.6337  0.6337  0.2674
Si  0.3663  0.3663  0.7326
Fe  0.7500  0.2500  0.5000
Th  0.0000  0.0000  0.0000

formation energy (no corrections) = -0.664 eV/atom
spin magnetization = 0.0 μB per formula unit

---

[2]
# Th2FeSi2Tc

A relaxed Th2FeSi2Tc crystal (GGA-PBE, Alexandria via LeMat-Bulk).

Unit cell a=5.9295 b=5.9406 c=8.0059 alpha=111.78 beta=111.74 gamma=90.00
Fractional positions:
Tc  0.0000  0.7500  0.0000
Tc  0.0000  0.2500  0.0000
Th  0.9031  0.6556  0.3112
Th  0.0969  0.3444  0.6888
Th  0.5919  0.8444  0.6888
Th  0.4081  0.1556  0.3112
Fe  0.5000  0.7500  0.0000
Fe  0.5000  0.2500  0.0000
Si  0.1735  0.9100  0.8199
Si  0.3536  0.5900  0.1801
Si  0.6464  0.4100  0.8199
Si  0.8265  0.0900  0.1801

formation energy (no corrections) = -0.639 eV/atom
spin magnetization = 0.0 μB per formula unit

---

[3]
# TiFeSiTc

A relaxed TiFeSiTc crystal (GGA-PBE, Alexandria via LeMat-Bulk).

Unit cell a=4.1793 b=4.1793 c=4.1793 alpha=60.00 beta=60.00 gamma=60.00
Site moments in Bohr magnetons follow the coordinates.
Fractional positions:
Fe  0.7500  0.7500  0.7500  0.67
Tc  0.2500  0.2500  0.2500  0.22
Si  0.0000  0.0000  0.0000  -0.01
Ti  0.5000  0.5000  0.5000  -0.14

formation energy (no corrections) = -0.566 eV/atom
spin magnetization = 0.7 μB per formula unit

---

[4]
# UFeSiTc

A relaxed UFeSiTc crystal (GGA-PBE, Alexandria via LeMat-Bulk).

Unit cell a=4.4437 b=4.4437 c=4.4437 alpha=60.00 beta=60.00 gamma=60.00
Site moments in Bohr magnetons follow the coordinates.
Fractional positions:
Si  0.5000  0.5000  0.5000  0.00
Tc  0.7500  0.7500  0.7500  -0.06
Fe  0.2500  0.2500  0.2500  -0.40
U  0.0000  0.0000  0.0000  1.52

formation energy (no corrections) = -0.130 eV/atom
spin magnetization = 1.2 μB per formula unit

---

[5]
# FeSiTcW

A relaxed FeSiTcW crystal (GGA-PBE, Alexandria via LeMat-Bulk).

Unit cell a=4.2222 b=4.2222 c=4.2222 alpha=60.00 beta=60.00 gamma=60.00
Site moments in Bohr magnetons follow the coordinates.
Fractional positions:
Tc  0.2500  0.2500  0.2500  -0.06
Si  0.5000  0.5000  0.5000  -0.01
W  0.0000  0.0000  0.0000  0.06
Fe  0.7500  0.7500  0.7500  0.69

formation energy (no corrections) = -0.135 eV/atom
spin magnetization = 0.7 μB per formula unit

---

[6]
# YFeSi2Tc

A relaxed YFeSi2Tc crystal (GGA-PBE, Alexandria via LeMat-Bulk).

Unit cell a=4.0033 b=4.0033 c=5.8312 alpha=110.08 beta=110.08 gamma=90.00
Site moments in Bohr magnetons follow the coordinates.
Fractional positions:
Y  0.0000  0.0000  0.0000  -0.02
Fe  0.7500  0.2500  0.5000  1.77
Si  0.3781  0.3781  0.7562  -0.03
Si  0.6219  0.6219  0.2438  -0.03
Tc  0.2500  0.7500  0.5000  0.25

formation energy (no corrections) = -0.641 eV/atom
spin magnetization = 1.9 μB per formula unit

---

[7]
# FeSi2Te

A relaxed FeSi2Te crystal (GGA-PBE, Alexandria via LeMat-Bulk).

Unit cell a=8.6211 b=8.6211 c=8.6211 alpha=20.25 beta=20.25 gamma=20.25
Site moments in Bohr magnetons follow the coordinates.
Fractional positions:
Fe  0.7500  0.7500  0.7500  0.57
Si  0.0211  0.0211  0.0211  -0.01
Si  0.4789  0.4789  0.4789  -0.01
Te  0.2500  0.2500  0.2500  0.00

formation energy (no corrections) = 0.303 eV/atom
spin magnetization = 0.5 μB per formula unit

---

[8]
# FeSi3Te

A relaxed FeSi3Te crystal (GGA-PBE, Alexandria via LeMat-Bulk).

Unit cell a=4.4910 b=4.4910 c=4.4910 alpha=90.00 beta=90.00 gamma=90.00
Fractional positions:
Te  0.5000  0.5000  0.5000
Si  0.0000  0.0000  0.5000
Si  0.5000  0.0000  0.0000
Si  0.0000  0.5000  0.0000
Fe  0.0000  0.0000  0.0000

ΔE to the lowest computed polymorph = 0 meV/atom
formation energy (no corrections) = 0.192 eV/atom
spin magnetization = 0.0 μB per formula unit

---

[9]
# Fe2SiTe

A relaxed Fe2SiTe crystal (GGA-PBE, Alexandria via LeMat-Bulk).

Unit cell a=6.3152 b=6.3152 c=6.3152 alpha=147.48 beta=152.84 gamma=42.87
Site moments in Bohr magnetons follow the coordinates.
Fractional positions:
Fe  0.9879  0.9879  0.0000  1.55
Fe  0.6744  0.1744  0.5000  1.74
Te  0.2944  0.7944  0.5000  -0.02
Si  0.5432  0.5432  0.0000  -0.07

ΔE to the lowest computed polymorph = 0 meV/atom
formation energy (no corrections) = 0.096 eV/atom
spin magnetization = 3.1 μB per formula unit

---

[10]
# Fe2SiTe

A relaxed Fe2SiTe crystal (GGA-PBE, Alexandria via LeMat-Bulk).

Unit cell a=5.7394 b=5.7394 c=5.7394 alpha=38.29 beta=38.29 gamma=38.29
Site moments in Bohr magnetons follow the coordinates.
Fractional positions:
Si  0.2500  0.2500  0.2500  -0.11
Te  0.7500  0.7500  0.7500  -0.05
Fe  0.5341  0.5341  0.5341  1.87
Fe  0.9659  0.9659  0.9659  1.87

ΔE to the lowest computed polymorph = 48 meV/atom
formation energy (no corrections) = 0.145 eV/atom
spin magnetization = 3.6 μB per formula unit

---

[11]
# FeSi2Te

A relaxed FeSi2Te crystal (GGA-PBE, Alexandria via LeMat-Bulk).

Unit cell a=3.8414 b=3.8414 c=6.0233 alpha=70.88 beta=70.88 gamma=60.97
Fractional positions:
Si  0.7122  0.7122  0.8615
Si  0.9734  0.9734  0.0763
Fe  0.2889  0.2889  0.1364
Te  0.5255  0.5255  0.4257

formation energy (no corrections) = 0.158 eV/atom
spin magnetization = 0.0 μB per formula unit

---

[12]
# Fe2SiTe

A relaxed Fe2SiTe crystal (GGA-PBE, Alexandria via LeMat-Bulk).

Unit cell a=4.2797 b=4.2797 c=4.9224 alpha=77.39 beta=77.39 gamma=43.50
Site moments in Bohr magnetons follow the coordinates.
Fractional positions:
Fe  0.9986  0.9986  0.0088  0.95
Fe  0.2332  0.2332  0.3713  0.97
Te  0.7459  0.7459  0.7810  -0.04
Si  0.5223  0.5223  0.3388  -0.06

ΔE to the lowest computed polymorph = 47 meV/atom
formation energy (no corrections) = 0.143 eV/atom
spin magnetization = 1.7 μB per formula unit

---

[13]
# FeSi2Te

A relaxed FeSi2Te crystal (GGA-PBE, Alexandria via LeMat-Bulk).

Unit cell a=5.6059 b=5.6059 c=6.9153 alpha=66.09 beta=66.09 gamma=90.00
Site moments in Bohr magnetons follow the coordinates.
Fractional positions:
Te  0.7500  0.2500  0.5000  0.02
Te  0.0000  0.0000  0.0000  0.02
Fe  0.2500  0.7500  0.5000  0.48
Fe  0.5000  0.5000  0.0000  0.47
Si  0.2067  0.6250  0.2500  -0.02
Si  0.5433  0.1250  0.2500  -0.02
Si  0.8750  0.7933  0.7500  -0.03
Si  0.3750  0.4567  0.7500  -0.03

formation energy (no corrections) = 0.417 eV/atom
spin magnetization = 0.5 μB per formula unit

---

[14]
# FeSi2Te

A relaxed FeSi2Te crystal (GGA-PBE, Alexandria via LeMat-Bulk).

Unit cell a=3.4271 b=3.9875 c=5.0905 alpha=90.00 beta=90.00 gamma=90.00
Site moments in Bohr magnetons follow the coordinates.
Fractional positions:
Te  0.5000  0.0000  0.5000  0.00
Si  0.5000  0.5000  0.0000  -0.03
Si  0.0000  0.0000  0.0000  -0.02
Fe  0.0000  0.5000  0.5000  2.33

formation energy (no corrections) = 0.618 eV/atom
spin magnetization = 2.2 μB per formula unit

---

[15]
# FeSi2Te

A relaxed FeSi2Te crystal (GGA-PBE, Alexandria via LeMat-Bulk).

Unit cell a=5.6100 b=5.6100 c=5.6100 alpha=140.68 beta=140.68 gamma=56.83
Site moments in Bohr magnetons follow the coordinates.
Fractional positions:
Te  0.2500  0.7500  0.5000  0.00
Si  0.5000  0.5000  0.0000  -0.02
Si  0.0000  0.0000  0.0000  -0.02
Fe  0.7500  0.2500  0.5000  2.48

formation energy (no corrections) = 0.636 eV/atom
spin magnetization = 2.4 μB per formula unit

---

[16]
# Fe2SiTe

A relaxed Fe2SiTe crystal (GGA-PBE, Alexandria via LeMat-Bulk).

Unit cell a=4.0182 b=4.0182 c=5.7515 alpha=78.05 beta=78.05 gamma=44.88
Site moments in Bohr magnetons follow the coordinates.
Fractional positions:
Te  0.7500  0.7500  0.7500  -0.02
Si  0.2500  0.2500  0.2500  -0.09
Fe  0.5084  0.5084  0.4189  2.03
Fe  0.9916  0.9916  0.0811  2.03

ΔE to the lowest computed polymorph = 44 meV/atom
formation energy (no corrections) = 0.141 eV/atom
spin magnetization = 4.0 μB per formula unit

---

[17]
# FeSiTe3

A relaxed FeSiTe3 crystal (GGA-PBE, Alexandria via LeMat-Bulk).

Unit cell a=5.1907 b=5.1907 c=5.1907 alpha=90.00 beta=90.00 gamma=90.00
Site moments in Bohr magnetons follow the coordinates.
Fractional positions:
Si  0.0000  0.0000  0.0000  0.01
Fe  0.5000  0.5000  0.5000  -0.01
Te  0.0000  0.0000  0.5000  0.04
Te  0.5000  0.0000  0.0000  0.07
Te  0.0000  0.5000  0.0000  0.08

formation energy (no corrections) = 1.219 eV/atom
spin magnetization = 0.3 μB per formula unit

---

[18]
# Fe3SiTe

A relaxed Fe3SiTe crystal (GGA-PBE, Alexandria via LeMat-Bulk).

Unit cell a=4.6861 b=4.6861 c=4.6861 alpha=90.00 beta=90.00 gamma=90.00
Site moments in Bohr magnetons follow the coordinates.
Fractional positions:
Fe  0.0000  0.5000  0.0000  2.29
Fe  0.5000  0.0000  0.0000  2.55
Fe  0.0000  0.0000  0.5000  2.22
Si  0.5000  0.5000  0.5000  -0.11
Te  0.0000  0.0000  0.0000  -0.08

ΔE to the lowest computed polymorph = 795 meV/atom
formation energy (no corrections) = 1.358 eV/atom
spin magnetization = 6.6 μB per formula unit

---

[19]
# Fe2SiTe

A relaxed Fe2SiTe crystal (GGA-PBE, Alexandria via LeMat-Bulk).

Unit cell a=7.5913 b=7.5913 c=7.5913 alpha=24.69 beta=24.69 gamma=24.69
Site moments in Bohr magnetons follow the coordinates.
Fractional positions:
Fe  0.2493  0.2493  0.2493  2.19
Fe  0.9908  0.9908  0.9908  2.49
Te  0.7407  0.7407  0.7407  -0.07
Si  0.5192  0.5192  0.5192  -0.05

ΔE to the lowest computed polymorph = 264 meV/atom
formation energy (no corrections) = 0.360 eV/atom
spin magnetization = 4.5 μB per formula unit

---

[20]
# FeSi2Te

A relaxed FeSi2Te crystal (GGA-PBE, Alexandria via LeMat-Bulk).

Unit cell a=3.0764 b=3.0764 c=7.2849 alpha=90.00 beta=90.00 gamma=90.00
Site moments in Bohr magnetons follow the coordinates.
Fractional positions:
Fe  0.5000  0.5000  0.8094  1.30
Si  0.0000  0.0000  0.9680  -0.04
Si  0.5000  0.5000  0.1572  -0.01
Te  0.0000  0.0000  0.5654  0.01

formation energy (no corrections) = 0.253 eV/atom
spin magnetization = 1.2 μB per formula unit